Record 1
{
  "formula": "CaP2IO",
  "functional": "PBE",
  "state": "relaxed",
  "lattice_angstrom": [[-3.6004, 3.4191, -2.3558], [-3.1356, -0.1949, 4.5092], [2.0714, 3.2711, 1.5818]],
  "species": ["P", "P", "O", "Ca", "I"],
  "frac_coords": [[0.5000, 0.0000, 0.0000], [0.0000, 0.5000, 0.0000], [0.0000, 0.0000, 0.5000], [0.0000, 0.0000, 0.0000], [0.5000, 0.5000, 0.5000]],
  "de_polymorph_mev_per_atom": 294,
  "spacegroup": "No. 123"
}



Record 2
{
  "formula": "CaP2IO",
  "functional": "PBE",
  "state": "relaxed",
  "lattice_angstrom": [[-1.7964, -4.9051, 0.4472], [0.9331, -0.8063, -5.0957], [3.7116, -1.2789, 0.8820]],
  "species": ["I", "P", "P", "O", "Ca"],
  "frac_coords": [[0.0000, 0.0000, 0.0000], [0.0000, 0.5000, 0.0000], [0.5000, 0.0000, 0.0000], [0.0000, 0.0000, 0.5000], [0.5000, 0.5000, 0.5000]],
  "de_polymorph_mev_per_atom": 0,
  "spacegroup": "No. 123"
}



Record 3
{
  "formula": "CaPIO2",
  "functional": "PBE",
  "state": "relaxed",
  "lattice_angstrom": [[-1.4759, -2.0084, 3.5359], [3.6616, 0.9799, 2.0850], [-2.8232, 5.9117, 2.1795]],
  "species": ["P", "O", "O", "Ca", "I"],
  "frac_coords": [[0.5000, 0.5000, 0.5000], [0.0000, 0.5000, 0.0000], [0.5000, 0.0000, 0.0000], [0.0000, 0.0000, 0.0000], [0.0000, 0.0000, 0.5000]],
  "spacegroup": "No. 123"
}



Record 4
{
  "formula": "CaPIO2",
  "functional": "PBE",
  "state": "relaxed",
  "lattice_angstrom": [[-1.7781, -3.9045, 0.1621], [0.3672, -0.3443, -4.2638], [6.0597, -2.7288, 0.7421]],
  "species": ["I", "P", "Ca", "O", "O"],
  "frac_coords": [[0.5000, 0.5000, 0.5000], [0.0000, 0.0000, 0.5000], [0.0000, 0.0000, 0.0000], [0.5000, 0.0000, 0.0000], [0.0000, 0.5000, 0.0000]],
  "spacegroup": "No. 123"
}



Record 5
{
  "formula": "CaPIO8",
  "functional": "PBE",
  "state": "relaxed",
  "lattice_angstrom": [[7.9931, 0.0000, 0.0000], [0.0000, 6.9694, -0.0300], [0.0000, 2.4112, 6.6391]],
  "species": ["O", "O", "O", "O", "O", "O", "O", "O", "O", "O", "O", "O", "O", "O", "O", "O", "P", "P", "I", "I", "Ca", "Ca"],
  "frac_coords": [[0.9147, 0.8544, 0.8310], [0.8256, 0.5753, 0.3658], [0.7081, 0.2971, 0.6829], [0.7081, 0.2029, 0.3171], [0.9147, 0.6456, 0.1690], [0.0853, 0.3544, 0.8310], [0.1744, 0.4247, 0.6342], [0.8256, 0.9247, 0.6342], [0.6642, 0.9053, 0.0487], [0.2919, 0.7029, 0.3171], [0.0853, 0.1456, 0.1690], [0.3358, 0.0947, 0.9513], [0.6642, 0.5947, 0.9513], [0.2919, 0.7971, 0.6829], [0.3358, 0.4053, 0.0487], [0.1744, 0.0753, 0.3658], [0.2279, 0.2500, 0.0000], [0.7721, 0.7500, 0.0000], [0.1559, 0.7500, 0.5000], [0.8441, 0.2500, 0.5000], [0.6085, 0.2500, 0.0000], [0.3915, 0.7500, 0.0000]],
  "spacegroup": "No. 13"
}



Record 6
{
  "formula": "CaPI2O",
  "functional": "PBE",
  "state": "relaxed",
  "lattice_angstrom": [[6.0439, 0.0000, 0.0000], [0.0000, 6.0439, 0.0000], [0.0000, 0.0000, 4.0972]],
  "species": ["O", "I", "I", "P", "Ca"],
  "frac_coords": [[0.0000, 0.0000, 0.5000], [0.5000, 0.0000, 0.0000], [0.0000, 0.5000, 0.0000], [0.5000, 0.5000, 0.5000], [0.0000, 0.0000, 0.0000]],
  "de_polymorph_mev_per_atom": 596,
  "spacegroup": "No. 123"
}



Record 7
{
  "formula": "CaPI2O",
  "functional": "PBE",
  "state": "relaxed",
  "lattice_angstrom": [[5.8810, 0.0000, 0.0000], [0.0000, 5.8810, 0.0000], [0.0000, 0.0000, 3.6778]],
  "species": ["Ca", "I", "I", "P", "O"],
  "frac_coords": [[0.5000, 0.5000, 0.5000], [0.0000, 0.5000, 0.0000], [0.5000, 0.0000, 0.0000], [0.0000, 0.0000, 0.0000], [0.0000, 0.0000, 0.5000]],
  "de_polymorph_mev_per_atom": 0,
  "spacegroup": "No. 123"
}



Record 8
{
  "formula": "CaPIO2",
  "functional": "PBE",
  "state": "relaxed",
  "lattice_angstrom": [[4.1023, 0.0000, 0.0000], [0.0000, 4.1023, 0.0000], [0.0000, 0.0000, 5.1935]],
  "species": ["P", "O", "O", "I", "Ca"],
  "frac_coords": [[0.0000, 0.0000, 0.0000], [0.5000, 0.0000, 0.0000], [0.0000, 0.5000, 0.0000], [0.0000, 0.0000, 0.5000], [0.5000, 0.5000, 0.5000]],
  "spacegroup": "No. 123"
}



Ordered formation energy without anion corrections results: 0.4959, 0.2015, -0.1100, -0.1004, -1.2425, -0.0441, -0.6403, -0.6855; unit eV/atom.